Entry 1:
A plane-wave DFT calculation with PBE-GGA was carried out for crystalline LaPm2Tc at its relaxed geometry.

abc: 3.5292 3.5292 9.3439
angles: 90.00 90.00 90.00
With the nearest neighbours (Å) after each atom.
Fractional coordinates of all 4 atoms:
La1 0.0000 0.0000 0.0000  4 La 3.53, 8 Pm 3.88
Pm1 0.5000 0.5000 0.3183  4 Tc 3.02
Pm2 0.5000 0.5000 0.6817  4 Tc 3.02
Tc1 0.0000 0.0000 0.5000  8 Pm 3.02

The space group is P4/mmm. The density of states at the Fermi level comes out at 5.89 states/eV/f.u. Its energy above the lowest structure with this stoichiometry is 0.146 eV per atom. As for the crystal system: tetragonal. The calculation puts the volume at 116.4 Å³/f.u.

---

Entry 2:
A plane-wave DFT calculation with PBE-GGA was carried out for crystalline LaPm2Tc at its relaxed geometry.

abc: 11.4775 11.4775 11.4775
angles: 17.33 17.33 17.33
With the nearest neighbours (Å) after each atom.
Fractional coordinates of all 4 atoms:
La1 0.0000 0.0000 0.0000  6 La 3.46, 6 Pm 3.71
Pm1 0.4256 0.4256 0.4256  1 Tc 2.52
Pm2 0.5744 0.5744 0.5744  1 Tc 2.52
Tc1 0.5000 0.5000 0.5000  2 Pm 2.52

The space group is R-3m. The density of states at the Fermi level comes out at 6.69 states/eV/f.u. Its energy above the lowest structure with this stoichiometry is 0.710 eV per atom. As for the crystal system: trigonal. The calculation puts the volume at 117.0 Å³/f.u.